This record from Alexandria describes a geometry-optimized KSb2Br structure. The functional is GGA-PBE.

```
KSb2Br
1.0
2.1494 -2.7262 0.0000
2.1494 2.7262 0.0000
0.0000 0.0000 10.3441
K Sb Br
1 2 1
Direct
0.0000 0.0000 0.0000
0.5000 0.5000 0.2784
0.5000 0.5000 0.7216
0.0000 0.0000 0.5000
```

Values from the calculation:
M_tot = 0.0 μB/f.u.
Formation energy (no corrections) = 129.2 meV per atom
Energy relative to the lowest polymorph listed for this composition = 0.7983 eV per atom

This record from Alexandria describes a geometry-optimized Li2CaCeHg4 structure. The functional is GGA-PBE.

```
Li2CaCeHg4
1.0
2.5527 1.4738 8.5234
-2.5527 1.4738 8.5234
0.0000 -2.9477 8.5234
Li Ca Ce Hg
2 1 1 4
Direct
0.2504 0.2504 0.2504
0.7496 0.7496 0.7496
0.0000 0.0000 0.0000
0.5000 0.5000 0.5000
0.1226 0.1226 0.1226
0.3767 0.3767 0.3767
0.6233 0.6233 0.6233
0.8774 0.8774 0.8774
```

Values from the calculation:
M_tot = 1.0 μB/f.u.
DFT formation energy = -380 meV per atom

This record from Alexandria describes a geometry-optimized LaCoAsBr2 structure. The functional is GGA-PBE.

```
LaCoAsBr2
1.0
4.8097 0.0000 0.0000
0.0000 4.8097 0.0000
0.0000 0.0000 4.9512
La Co As Br
1 1 1 2
Direct
0.0000 0.0000 0.0000
0.5000 0.5000 0.5000
0.5000 0.5000 0.0000
0.0000 0.5000 0.5000
0.5000 0.0000 0.5000
```

Values from the calculation:
M_tot = 0.7 μB/f.u.
Formation energy (no corrections) = -573.4 meV per atom

This record from Alexandria describes a geometry-optimized TmAlAu structure. The functional is GGA-PBE.

```
TmAlAu
1.0
7.1052 0.0000 0.0000
0.0000 4.4480 0.0000
0.0000 0.0000 7.7479
Tm Al Au
4 4 4
Direct
0.0088 0.2500 0.1982
0.4912 0.7500 0.6982
0.5088 0.2500 0.3018
0.9912 0.7500 0.8018
0.1764 0.2500 0.5783
0.3236 0.7500 0.0783
0.6764 0.2500 0.9217
0.8236 0.7500 0.4217
0.2149 0.7500 0.4051
0.2851 0.2500 0.9051
0.7149 0.7500 0.0949
0.7851 0.2500 0.5949
```

Values from the calculation:
M_tot = 0.0 μB/f.u.
DFT formation energy = -796 meV per atom

This record from Alexandria describes a geometry-optimized AcInCo structure. The functional is GGA-PBE.

```
AcInCo
1.0
6.7901 0.0000 0.0000
0.0000 8.5031 0.0000
-2.3953 0.0000 5.4207
Ac In Co
4 4 4
Direct
0.2333 0.1027 0.2841
0.2333 0.3973 0.7841
0.7667 0.6027 0.2159
0.7667 0.8973 0.7159
0.2744 0.6982 0.2247
0.2744 0.8018 0.7247
0.7256 0.1982 0.2753
0.7256 0.3018 0.7753
0.4557 0.0858 0.8339
0.4557 0.4142 0.3339
0.5443 0.5858 0.6661
0.5443 0.9142 0.1661
```

Values from the calculation:
M_tot = 0.0 μB/f.u.
DFT formation energy = -65 meV per atom
Energy relative to the lowest polymorph listed for this composition = 0.1719 eV per atom

This record from Alexandria describes a geometry-optimized TcOs2F structure. The functional is GGA-PBE.

```
TcOs2F
1.0
0.0000 3.0120 3.0120
3.0120 0.0000 3.0120
3.0120 3.0120 0.0000
Tc Os F
1 2 1
Direct
0.0000 0.0000 0.0000
0.2500 0.2500 0.2500
0.7500 0.7500 0.7500
0.5000 0.5000 0.5000
```

Values from the calculation:
M_tot = 0.0 μB/f.u.
Formation energy (no corrections) = 489.2 meV per atom
Energy relative to the lowest polymorph listed for this composition = 0.0000 eV per atom

This record from Alexandria describes a geometry-optimized KNa2Li2 structure. The functional is GGA-PBE.

```
KNa2Li2
1.0
-2.1626 2.1626 10.1017
2.1626 -2.1626 10.1017
2.1626 2.1626 -10.1017
K Na Li
1 2 2
Direct
0.0000 0.0000 0.0000
0.3718 0.3718 0.0000
0.6282 0.6282 0.0000
0.2500 0.7500 0.5000
0.7500 0.2500 0.5000
```

Values from the calculation:
M_tot = 0.0 μB/f.u.
DFT formation energy = 114 meV per atom
Energy relative to the lowest polymorph listed for this composition = 0.0221 eV per atom

This record from Alexandria describes a geometry-optimized Sr2FeBi2 structure. The functional is GGA-PBE.

```
Sr2FeBi2
1.0
-2.2343 2.2343 9.3731
2.2343 -2.2343 9.3731
2.2343 2.2343 -9.3731
Sr Fe Bi
2 1 2
Direct
0.1019 0.1019 0.0000
0.8981 0.8981 0.0000
0.5000 0.5000 0.0000
0.2500 0.7500 0.5000
0.7500 0.2500 0.5000
```

Values from the calculation:
M_tot = 2.6 μB/f.u.
DFT formation energy = 248 meV per atom
Energy relative to the lowest polymorph listed for this composition = 0.0000 eV per atom

This record from Alexandria describes a geometry-optimized VOs2Pt structure. The functional is GGA-PBE.

```
VOs2Pt
1.0
-1.8901 1.8901 8.9341
1.8901 -1.8901 8.9341
1.8901 1.8901 -8.9341
V Os Pt
2 4 2
Direct
0.0000 0.0000 0.0000
0.7500 0.2500 0.5000
0.0921 0.6250 0.9671
0.3750 0.3421 0.4671
0.6579 0.1250 0.0329
0.8750 0.9079 0.5329
0.2500 0.7500 0.5000
0.5000 0.5000 0.0000
```

Values from the calculation:
M_tot = 0.3 μB/f.u.
DFT formation energy = 488 meV per atom

This record from Alexandria describes a geometry-optimized Sc4Te2AsPb structure. The functional is GGA-PBE.

```
Sc4Te2AsPb
1.0
7.1360 0.0000 0.0000
0.0000 4.0966 0.0000
-2.3472 0.0000 6.7416
Sc Te As Pb
4 2 1 1
Direct
0.2231 0.0000 0.2290
0.2339 0.5000 0.7578
0.7661 0.5000 0.2422
0.7769 0.0000 0.7710
0.5000 0.0000 0.0000
0.5000 0.5000 0.5000
0.0000 0.5000 0.0000
0.0000 0.0000 0.5000
```

Values from the calculation:
M_tot = 0.0 μB/f.u.
Formation energy (no corrections) = -1015.5 meV per atom

This record from Alexandria describes a geometry-optimized NpAg3Pd4 structure. The functional is GGA-PBE.

```
NpAg3Pd4
1.0
7.7439 -2.1824 0.0000
7.7439 2.1824 0.0000
-1.2208 0.0000 4.1907
Np Ag Pd
1 3 4
Direct
0.0000 0.0000 0.0000
0.2526 0.2526 0.2525
0.5000 0.5000 0.5000
0.7474 0.7474 0.7475
0.1254 0.1254 0.6257
0.3746 0.3746 0.8743
0.6254 0.6254 0.1257
0.8746 0.8746 0.3743
```

Values from the calculation:
M_tot = 3.8 μB/f.u.
DFT formation energy = -141 meV per atom

This record from Alexandria describes a geometry-optimized RbNi2Br structure. The functional is GGA-PBE.

```
RbNi2Br
1.0
0.0000 3.4271 3.4271
3.4271 0.0000 3.4271
3.4271 3.4271 0.0000
Rb Ni Br
1 2 1
Direct
0.0000 0.0000 0.0000
0.2500 0.2500 0.2500
0.7500 0.7500 0.7500
0.5000 0.5000 0.5000
```

Values from the calculation:
M_tot = 0.2 μB/f.u.
Formation energy (no corrections) = 976.9 meV per atom
Energy relative to the lowest polymorph listed for this composition = 0.7303 eV per atom